VASP calculation (PBE) on a relaxed structure of Ti3V2Co8.

Final energy = -7.602 eV/atom
Magnetization = 3.48 μB/cell

a b c (Å): 4.6472 4.6472 9.2924
angles (deg): 75.52 75.52 60.00
With the nearest neighbours (Å) after each atom.
Fractional coordinates of all 13 atoms:
1 Co 0.2795 0.2795 0.1615  1 V 2.18
2 Co 0.2635 0.7725 0.7005  4 Co 2.28-2.37, 1 V 2.36
3 Co 0.7365 0.2275 0.2995  4 Co 2.28-2.37, 1 V 2.36
4 Co 0.7725 0.2635 0.7005  4 Co 2.28-2.37, 1 V 2.36
5 Co 0.7205 0.7205 0.8385  1 V 2.18
6 Co 0.2275 0.7365 0.2995  4 Co 2.28-2.37, 1 V 2.36
7 Co 0.7365 0.7365 0.2995  4 Co 2.28-2.37, 1 V 2.36
8 Co 0.2635 0.2635 0.7005  4 Co 2.28-2.37, 1 V 2.36
9 Ti 0.8125 0.8125 0.5625  10 Co 2.46-2.69
10 Ti 0.1875 0.1875 0.4375  10 Co 2.46-2.69
11 Ti 0.0000 0.0000 0.0000  6 V 2.78, 12 Co 2.97-3.04
12 V 0.3612 0.3612 0.9165  4 Co 2.18-2.36
13 V 0.6388 0.6388 0.0835  4 Co 2.18-2.36